# CaMgSi2 | the Alexandria database | PBE | relaxed
# Formation energy (no corrections), eV/atom: -0.039
# Size of the total moment, Bohr magnetons per cell: 0.00
data_CaMgSi2
_chemical_formula_sum 'Ca1 Mg1 Si2'
_cell_length_a 3.115
_cell_length_b 3.115
_cell_length_c 8.127
_cell_angle_alpha 90.00
_cell_angle_beta 90.00
_cell_angle_gamma 90.00
_symmetry_space_group_name_H-M 'P 4/m m m'
_symmetry_Int_Tables_number 123
_symmetry_space_group_name_Hall '-P 4 2'
loop_
_atom_site_label
_atom_site_type_symbol
_atom_site_fract_x
_atom_site_fract_y
_atom_site_fract_z
Ca1 Ca 0.000 0.000 0.000
Mg1 Mg 0.000 0.000 0.500
Si1 Si 0.500 0.500 0.268